A relaxed NiAsW2 crystal. Source: Alexandria, functional GGA-PBE.

**Energy of formation from the pure elements**: 359 meV/atom
**Total magnetic moment**: 0.00 μB/f.u.
**Density of states at the Fermi level**: 3.91 states/eV per cell
**Energy**: -8.73 eV/atom

abc: 4.907 4.907 2.788
angles: 98.80 98.80 113.43
Sites, in units of the cell vectors:
Ni (0.000, 0.000, 0.000)
As (0.500, 0.500, 0.000)
W (0.000, 0.500, 0.500)
W (0.500, 0.000, 0.500)